# BeCuO3, optimized geometry, DFT PBE-GGA
data_BeCuO3
_chemical_formula_sum 'Be1 Cu1 O3'
_space_group_name_H-M_alt 'P m -3 m'
_space_group_IT_number 221
_space_group_name_Hall '-P 4 2 3'
_cell_length_a 3.4302
_cell_length_b 3.4302
_cell_length_c 3.4302
_cell_angle_alpha 90.00
_cell_angle_beta 90.00
_cell_angle_gamma 90.00
loop_
_atom_site_label
_atom_site_type_symbol
_atom_site_fract_x
_atom_site_fract_y
_atom_site_fract_z
Be1 Be 0.0000 0.0000 0.0000
Cu1 Cu 0.5000 0.5000 0.5000
O1 O 0.0000 0.0000 0.5000
# Raw formation energy = -462 meV per atom
# Magnetic moment = 3.0 μB/f.u.